## V2Fe2PbO8F2 (PBE with a Hubbard U)

Data for a geometry-optimized V2Fe2PbO8F2 structure.

The volume comes out at 420.3 Å³ per cell. As for the final energy: -100.60 eV per formula unit.

The space group is C2/m (No. 12) and the conventional cell measures 9.3356, 6.1857 and 7.9773 Å, with angles of 90.00, 114.15 and 90.00 degrees. The asymmetric unit holds V at (0.0676, 0.0000, 0.2590), Fe at (0.2500, 0.2500, 0.0000), Pb at (0.0000, 0.5000, 0.5000), O at (0.0503, 0.2312, 0.7679), O at (0.1693, 0.0000, 0.1051), O at (0.2104, 0.0000, 0.4697) and F at (0.1661, 0.5000, 0.0887).